[1]
VASP calculation (GGA-PBEsol) on a relaxed structure of La3IrF.

Fermi-level density of states in states/eV per atom: 1.20
Theoretical density in g/cm3: 5.97
Energy in eV per cell: -30.44
Formation energy (no corrections) in meV per atom: -529.1

Structure (CIF):
```
data_La3IrF
_cell_length_a 5.590
_cell_length_b 5.590
_cell_length_c 5.590
_cell_angle_alpha 90.00
_cell_angle_beta 90.00
_cell_angle_gamma 90.00
_symmetry_space_group_name_H-M 'P m -3 m'
_symmetry_Int_Tables_number 221
_symmetry_space_group_name_Hall '-P 4 2 3'
loop_
_atom_site_label
_atom_site_fract_x
_atom_site_fract_y
_atom_site_fract_z
La1 0.000 0.000 0.500
Ir1 0.000 0.000 0.000
F1 0.500 0.500 0.500
```

---

[2]
VASP calculation (GGA-PBEsol) on a relaxed structure of Rb3SbI6.

Fermi-level density of states in states/eV per atom: 0.00
Theoretical density in g/cm3: 3.71
Energy in eV per cell: -110.27
Formation energy (no corrections) in meV per atom: -933.3

Structure (CIF):
```
data_Rb3SbI6
_cell_length_a 12.687
_cell_length_b 12.687
_cell_length_c 12.687
_cell_angle_alpha 90.00
_cell_angle_beta 90.00
_cell_angle_gamma 90.00
_symmetry_space_group_name_H-M 'F m -3 m'
_symmetry_Int_Tables_number 225
_symmetry_space_group_name_Hall '-F 4 2 3'
loop_
_atom_site_label
_atom_site_fract_x
_atom_site_fract_y
_atom_site_fract_z
Rb1 0.000 0.000 0.000
Rb2 0.250 0.250 0.250
Sb1 0.000 0.000 0.500
I1 0.000 0.000 0.266
```

---

[3]
VASP calculation (GGA-PBEsol) on a relaxed structure of Pb2SF.

Fermi-level density of states in states/eV per atom: 0.38
Theoretical density in g/cm3: 9.31
Energy in eV per cell: -70.57
Formation energy (no corrections) in meV per atom: -833.2

Structure (CIF):
```
data_Pb2SF
_cell_length_a 6.925
_cell_length_b 6.925
_cell_length_c 6.925
_cell_angle_alpha 90.00
_cell_angle_beta 90.00
_cell_angle_gamma 90.00
_symmetry_space_group_name_H-M 'F m -3 m'
_symmetry_Int_Tables_number 225
_symmetry_space_group_name_Hall '-F 4 2 3'
loop_
_atom_site_label
_atom_site_fract_x
_atom_site_fract_y
_atom_site_fract_z
Pb1 0.250 0.250 0.250
S1 0.000 0.000 0.000
F1 0.000 0.000 0.500
```

---

[4]
VASP calculation (GGA-PBEsol) on a relaxed structure of Cs2KSmCl6.

Fermi-level density of states in states/eV per atom: 0.00
Theoretical density in g/cm3: 3.16
Energy in eV per cell: -165.54
Formation energy (no corrections) in meV per atom: -2122.6

Structure (CIF):
```
data_Cs2KSmCl6
_cell_length_a 11.197
_cell_length_b 11.197
_cell_length_c 11.197
_cell_angle_alpha 90.00
_cell_angle_beta 90.00
_cell_angle_gamma 90.00
_symmetry_space_group_name_H-M 'F m -3 m'
_symmetry_Int_Tables_number 225
_symmetry_space_group_name_Hall '-F 4 2 3'
loop_
_atom_site_label
_atom_site_fract_x
_atom_site_fract_y
_atom_site_fract_z
Cs1 0.250 0.250 0.250
K1 0.000 0.000 0.000
Sm1 0.000 0.000 0.500
Cl1 0.000 0.000 0.262
```

---

[5]
VASP calculation (GGA-PBEsol) on a relaxed structure of Ba2LiLa.

Fermi-level density of states in states/eV per atom: 1.11
DFT formation energy in eV/atom: 0.17
Theoretical density in g/cm3: 4.26
Energy in eV per cell: -10.92

Structure (CIF):
```
data_Ba2LiLa
_cell_length_a 3.930
_cell_length_b 6.275
_cell_length_c 6.645
_cell_angle_alpha 90.00
_cell_angle_beta 90.00
_cell_angle_gamma 90.00
_symmetry_space_group_name_H-M 'P m m 2'
_symmetry_Int_Tables_number 25
loop_
_symmetry_equiv_pos_as_xyz
'x,y,z'
'-x,-y,z'
'-x,y,z'
'x,-y,z'
loop_
_atom_site_label
_atom_site_fract_x
_atom_site_fract_y
_atom_site_fract_z
Ba1 0.000 0.000 0.000
Ba2 0.000 0.500 0.373
Li1 0.500 0.000 0.528
La1 0.500 0.500 0.856
```

---

[6]
VASP calculation (GGA-PBEsol) on a relaxed structure of Nb4CoC2S4.

Fermi-level density of states in states/eV per atom: 0.48
Theoretical density in g/cm3: 6.34
Energy in eV per cell: -97.34
Formation energy (no corrections) in meV per atom: -862.9

Structure (CIF):
```
data_Nb4CoC2S4
_cell_length_a 5.673
_cell_length_b 3.289
_cell_length_c 8.400
_cell_angle_alpha 90.00
_cell_angle_beta 103.01
_cell_angle_gamma 90.00
_symmetry_space_group_name_H-M 'P 1 2/m 1'
_symmetry_Int_Tables_number 10
loop_
_symmetry_equiv_pos_as_xyz
'x,y,z'
'-x,-y,-z'
'-x,y,-z'
'x,-y,z'
loop_
_atom_site_label
_atom_site_fract_x
_atom_site_fract_y
_atom_site_fract_z
Nb1 0.114 0.000 0.359
Nb2 0.375 0.500 0.642
Co1 0.000 0.000 0.000
C1 0.000 0.500 0.500
C2 0.500 0.000 0.500
S1 0.218 0.500 0.153
S2 0.283 0.000 0.846
```

---

[7]
VASP calculation (GGA-PBEsol) on a relaxed structure of K2ZrTl.

Fermi-level density of states in states/eV per atom: 1.10
DFT formation energy in eV/atom: 0.55
Relative energy among the computed polymorphs in eV per atom: 0.003
Theoretical density in g/cm3: 4.97
Energy in eV per cell: -35.39

Structure (CIF):
```
data_K2ZrTl
_cell_length_a 3.3305
_cell_length_b 3.3305
_cell_length_c 38.9769
_cell_angle_alpha 90.00
_cell_angle_beta 90.00
_cell_angle_gamma 120.00
_symmetry_space_group_name_H-M 'R -3 m'
_symmetry_Int_Tables_number 166
_symmetry_space_group_name_Hall '-R 3 2"'
loop_
_atom_site_label
_atom_site_fract_x
_atom_site_fract_y
_atom_site_fract_z
K1 0.0000 0.0000 0.2473
Zr1 0.0000 0.0000 0.0000
Tl1 0.0000 0.0000 0.5000
```

---

[8]
VASP calculation (GGA-PBEsol) on a relaxed structure of La2IrAu.

Fermi-level density of states in states/eV per atom: 0.72
DFT formation energy in eV/atom: -0.66
Theoretical density in g/cm3: 11.64
Energy in eV per cell: -27.10

Structure (CIF):
```
data_La2IrAu
_cell_length_a 3.602
_cell_length_b 3.602
_cell_length_c 7.334
_cell_angle_alpha 90.00
_cell_angle_beta 90.07
_cell_angle_gamma 90.00
_symmetry_space_group_name_H-M 'P 1 2/m 1'
_symmetry_Int_Tables_number 10
loop_
_symmetry_equiv_pos_as_xyz
'x,y,z'
'-x,-y,-z'
'-x,y,-z'
'x,-y,z'
loop_
_atom_site_label
_atom_site_fract_x
_atom_site_fract_y
_atom_site_fract_z
La1 0.001 0.000 0.269
Ir1 0.500 0.500 0.500
Au1 0.500 0.500 0.000
```